Record 1
Entry from OQMD via LeMat-Bulk: a relaxed structure of GdHgGe (PBE).

Cell: 4.7732 4.7732 4.7732 Å, 60.00 60.00 60.00°
With the nearest neighbours (Å) after each atom.
Fractional positions:
Gd1 0.2500 0.2500 0.2500  4 Ge 2.92
Ge1 0.0000 0.0000 0.0000  4 Hg 2.92, 4 Gd 2.92
Hg1 0.7500 0.7500 0.7500  4 Ge 2.92

Calculated values
energy = -3.537 eV/atom

***

Record 2
Entry from OQMD via LeMat-Bulk: a relaxed structure of YSnPt2 (PBE).

Cell: 4.8282 4.8282 4.8282 Å, 60.00 60.00 60.00°
With the nearest neighbours (Å) after each atom.
Fractional positions:
Pt1 0.0000 0.0000 0.0000  4 Pt 2.96, 4 Y 2.96
Pt2 0.7500 0.7500 0.7500  4 Sn 2.96, 4 Pt 2.96
Sn1 0.5000 0.5000 0.5000  4 Pt 2.96, 4 Y 2.96
Y1 0.2500 0.2500 0.2500  4 Sn 2.96, 4 Pt 2.96

Calculated values
energy = -6.258 eV/atom

***

Record 3
Entry from OQMD via LeMat-Bulk: a relaxed structure of BaTh (PBE).

Cell: 4.9727 4.9727 4.9727 Å, 60.00 60.00 60.00°
With the nearest neighbours (Å) after each atom.
Fractional positions:
Ba1 0.0000 0.0000 0.0000  4 Th 3.05
Th1 0.2500 0.2500 0.2500  4 Ba 3.05

Calculated values
energy relative to the lowest polymorph listed for this composition = 774 meV per atom

***

Record 4
Entry from OQMD via LeMat-Bulk: a relaxed structure of Cs2NdYO4 (PBE).

Cell: 3.5910 3.5910 13.6091 Å, 90.00 90.00 120.00°
With the nearest neighbours (Å) after each atom.
Fractional positions:
Cs1 0.6667 0.3333 0.2476  6 O 3.04-3.07
Cs2 0.3333 0.6667 0.7524  6 O 3.04-3.07
Nd1 0.0000 0.0000 0.5000  6 O 2.40
O1 0.3333 0.6667 0.0816  3 Y 2.35
O2 0.3333 0.6667 0.4108  3 Nd 2.40
O3 0.6667 0.3333 0.5892  3 Nd 2.40
O4 0.6667 0.3333 0.9184  3 Y 2.35
Y1 0.0000 0.0000 0.0000  6 O 2.35

Calculated values
energy = -6.640 eV/atom

***

| no. | theoretical density (g/cm³) |
| --- | --- |
| 1 | 9.30 |
| 2 | 12.47 |
| 3 | 7.05 |
| 4 | 6.15 |